No. 1
Material: RbTl5I6
Method: DFT, PBE-GGA
State: optimized geometry

Calculated values
The value obtained for the uncorrected formation energy is -9.6 eV per formula unit. Its uncorrected energy is -2.644 eV/atom. As for the density of states at the Fermi level: 0.000 states/eV per atom.

Structure (extended XYZ):
```
12
Lattice="8.7634 0.2426 0.0000 2.6999 8.3509 0.0000 1.3500 4.1754 7.5929" Properties=species:S:1:pos:R:3 pbc="T T T"
Rb 0.0000 0.0000 0.0000
Tl 5.7317 4.2967 5.1048
Tl 1.3500 4.1754 2.5484
Tl 5.7317 4.2967 0.0000
Tl 2.6999 8.3509 5.0444
Tl 7.0816 8.4722 2.4881
I 7.2178 2.3178 2.5904
I 4.2455 6.2756 2.5904
I 2.8904 2.2190 0.0000
I 8.5730 6.3745 0.0000
I 8.5678 6.4933 5.0025
I 5.5955 10.4511 5.0025
```

No. 2
Material: Rb3TlI4
Method: DFT, PBE-GGA
State: optimized geometry

Calculated values
The value obtained for the uncorrected formation energy is -10.0 eV per formula unit. Its uncorrected energy is -2.684 eV/atom. As for the density of states at the Fermi level: 0.000 states/eV per atom.

Structure (extended XYZ):
```
16
Lattice="-5.6336 1.0180 -4.5541 -6.7652 0.4517 8.4698 1.6856 12.3938 0.6854" Properties=species:S:1:pos:R:3 pbc="T T T"
Rb -8.8576 0.9532 4.5473
Rb -4.4678 3.4317 5.5353
Rb -4.9989 3.8574 0.4120
Rb -0.5985 6.3340 1.4087
Rb -4.1654 9.9856 0.7509
Rb -3.6157 9.6972 5.8818
Tl -1.5279 0.1436 1.1616
Tl -7.9406 7.1458 4.7843
I -6.1042 0.4484 6.9033
I -4.3509 0.6532 -1.1107
I -2.1809 3.2495 2.6655
I -7.2858 4.0396 3.2818
I -5.1206 6.6368 7.0543
I -3.3523 6.8388 -0.9477
I -6.4604 10.1093 3.6175
I -1.3208 9.5736 3.0153
```

No. 3
Material: Rb2TlI
Method: DFT, PBE-GGA
State: optimized geometry

Calculated values
The value obtained for the uncorrected formation energy is -1.7 eV per formula unit. Its uncorrected energy is -1.897 eV/atom. As for the density of states at the Fermi level: 1.529 states/eV per atom.

Structure (extended XYZ):
```
4
Lattice="0.0000 4.6034 4.6034 4.6034 0.0000 4.6034 4.6034 4.6034 0.0000" Properties=species:S:1:pos:R:3 pbc="T T T"
I 0.0000 0.0000 0.0000
Tl 4.6034 4.6034 4.6034
Rb 2.3017 2.3017 2.3017
Rb 6.9051 6.9051 6.9051
```

No. 4
Material: RbTl3I8
Method: DFT, PBE-GGA
State: optimized geometry

Calculated values
The value obtained for the uncorrected formation energy is -6.4 eV per formula unit. Its uncorrected energy is -2.243 eV/atom.

Structure (extended XYZ):
```
12
Lattice="7.7085 -0.2488 0.0266 2.7483 7.2062 0.0266 -0.5796 -0.3857 11.7574" Properties=species:S:1:pos:R:3 pbc="T T T"
Rb 0.0000 0.0000 0.0000
Tl 6.1028 4.0605 3.0705
Tl 3.7744 2.5113 8.7401
Tl -0.2898 -0.1928 5.8787
I 3.9086 5.3739 8.7380
I 7.2498 4.8237 0.6136
I 6.4667 1.5293 8.7380
I 2.6105 1.7369 6.2984
I 3.4105 5.0425 3.0727
I 7.2666 4.8349 5.5122
I 5.9685 1.1979 3.0727
I 2.6274 1.7481 11.1970
```

No. 5
Material: RbTl2I3
Method: DFT, PBE-GGA
State: optimized geometry

Calculated values
The value obtained for the uncorrected formation energy is -5.6 eV per formula unit. Its uncorrected energy is -2.664 eV/atom. As for the density of states at the Fermi level: 0.000 states/eV per atom.

Structure (extended XYZ):
```
6
Lattice="4.9777 -0.0007 -1.1348 -0.2584 4.9702 -1.1353 -0.0151 -0.0142 11.4303" Properties=species:S:1:pos:R:3 pbc="T T T"
Rb 2.0337 2.1552 9.0022
Tl 0.4768 0.5080 2.1518
Tl 3.6123 3.8105 4.4220
I 4.3933 4.6398 7.8669
I 1.2362 1.3077 5.4882
I 2.8518 3.0084 1.0865
```

No. 6
Material: RbTl2I2
Method: DFT, PBE-GGA
State: optimized geometry

Calculated values
The value obtained for the uncorrected formation energy is -2.9 eV per formula unit. Its uncorrected energy is -2.339 eV/atom. As for the density of states at the Fermi level: 0.535 states/eV per atom.

Structure (extended XYZ):
```
10
Lattice="-6.1582 -6.9741 -1.4976 7.0448 -6.2567 0.1685 -0.5983 -0.5398 4.9739" Properties=species:S:1:pos:R:3 pbc="T T T"
I 3.8283 -7.6936 -0.3744
I -0.5899 -9.9913 -1.1552
I -2.9417 -5.5372 -0.9548
I 1.4765 -3.2395 -0.1739
Tl 3.3616 -5.4629 2.3638
Tl 1.6063 -10.1256 1.6466
Tl -3.0733 -8.3078 1.2810
Tl -1.3180 -3.6450 1.9981
Rb 0.0000 0.0000 0.0000
Rb 0.4433 -6.6154 -0.6646
```

No. 7
Material: Rb3TlI4
Method: DFT, PBE-GGA
State: optimized geometry

Calculated values
The value obtained for the uncorrected formation energy is -10.3 eV per formula unit. Its uncorrected energy is -2.722 eV/atom. As for the density of states at the Fermi level: 0.000 states/eV per atom.

Structure (extended XYZ):
```
8
Lattice="-5.6962 -2.6271 -3.8838 3.2066 2.2690 -6.2452 4.6701 -6.3433 4.4551" Properties=species:S:1:pos:R:3 pbc="T T T"
I 0.5772 -7.8359 -2.5513
I 5.0286 -5.3879 -3.7320
I 1.6634 -3.1674 -0.2962
I 0.5172 -3.5341 -5.3777
Tl 0.0000 0.0000 0.0000
Rb -1.2448 -0.1791 -5.0645
Rb -1.1355 -4.5748 -2.2466
Rb 3.3160 -2.1267 -3.4273
```

No. 8
Material: RbTl3I3
Method: DFT, PBE-GGA
State: optimized geometry

Calculated values
The value obtained for the uncorrected formation energy is -3.2 eV per formula unit. Its uncorrected energy is -2.270 eV/atom. As for the density of states at the Fermi level: 0.882 states/eV per atom.

Structure (extended XYZ):
```
14
Lattice="9.6700 0.0000 0.0000 0.0000 9.6700 0.0000 0.0000 0.0000 9.6700" Properties=species:S:1:pos:R:3 pbc="T T T"
I 0.0000 2.4175 4.8350
I 0.0000 7.2525 4.8350
I 4.8350 0.0000 7.2525
I 7.2525 4.8350 0.0000
I 4.8350 0.0000 2.4175
I 2.4175 4.8350 0.0000
Tl 2.4175 0.0000 4.8350
Tl 0.0000 4.8350 2.4175
Tl 4.8350 7.2525 0.0000
Tl 7.2525 0.0000 4.8350
Tl 0.0000 4.8350 7.2525
Tl 4.8350 2.4175 0.0000
Rb 4.8350 4.8350 4.8350
Rb 0.0000 0.0000 0.0000
```

No. 9
Material: RbTl2I
Method: DFT, PBE-GGA
State: optimized geometry

Calculated values
The value obtained for the uncorrected formation energy is -0.6 eV per formula unit. Its uncorrected energy is -1.961 eV/atom. As for the density of states at the Fermi level: 1.155 states/eV per atom.

Structure (extended XYZ):
```
4
Lattice="0.0000 4.3283 4.3283 4.3283 0.0000 4.3283 4.3283 4.3283 0.0000" Properties=species:S:1:pos:R:3 pbc="T T T"
I 4.3283 4.3283 4.3283
Tl 2.1642 2.1642 2.1642
Tl 6.4925 6.4925 6.4925
Rb 0.0000 0.0000 0.0000
```

No. 10
Material: RbTl6I8
Method: DFT, PBE-GGA
State: optimized geometry

Calculated values
The value obtained for the uncorrected formation energy is -10.1 eV per formula unit. Its uncorrected energy is -2.511 eV/atom. As for the density of states at the Fermi level: 0.665 states/eV per atom.

Structure (extended XYZ):
```
15
Lattice="5.2053 0.0000 0.0000 0.0000 10.6371 -6.1413 0.0000 0.0000 12.2826" Properties=species:S:1:pos:R:3 pbc="T T T"
Rb 2.6027 0.0000 0.0000
Tl 3.8940 6.9970 -2.4242
Tl 3.8940 9.2380 1.1304
Tl 3.8940 5.0391 1.2938
Tl 1.3113 3.6400 8.5655
Tl 1.3113 1.3991 5.0109
Tl 1.3113 5.5979 4.8475
I 3.9048 10.3267 -2.4798
I 3.9048 7.6213 4.0418
I 3.9048 3.3262 -1.5620
I 1.3005 0.3104 8.6211
I 1.3005 3.0158 2.0996
I 1.3005 7.3109 7.7033
I 3.9067 3.5457 6.1413
I 1.2986 7.0914 0.0000
```

No. 11
Material: Rb3TlI6
Method: DFT, PBE-GGA
State: optimized geometry

Calculated values
The value obtained for the uncorrected formation energy is -9.8 eV per formula unit. Its uncorrected energy is -2.432 eV/atom.

Structure (extended XYZ):
```
20
Lattice="-0.4074 8.3782 2.4889 -5.6215 -2.3934 7.1366 9.7480 -0.9319 7.3659" Properties=species:S:1:pos:R:3 pbc="T T T"
Rb 2.0438 1.5780 13.4918
Rb -3.0144 2.9924 4.8128
Rb 1.6753 3.4748 3.4997
Rb -0.7382 -1.3411 6.1671
Rb 4.8740 -0.4660 3.6830
Rb 4.4573 6.3940 10.8243
Tl 1.8595 2.5264 8.4957
Tl 0.0000 0.0000 0.0000
I 7.9845 4.7099 10.0242
I 4.0963 4.4486 7.5461
I -0.0714 4.0365 6.7384
I 3.7904 1.0163 10.2530
I -0.3772 0.6042 9.4454
I -4.2654 0.3430 6.9672
I 2.4628 0.6243 6.1777
I -0.8143 0.6232 2.9237
I 7.1418 0.2907 6.4658
I -3.4228 4.7622 10.5256
I 4.5334 4.4296 14.0677
I 1.2563 4.4286 10.8138
```

No. 12
Material: Rb2Tl2I
Method: DFT, PBE-GGA
State: optimized geometry

Calculated values
The value obtained for the uncorrected formation energy is -2.9 eV per formula unit. Its uncorrected energy is -2.227 eV/atom. As for the density of states at the Fermi level: 0.201 states/eV per atom.

Structure (extended XYZ):
```
5
Lattice="-1.9310 -2.0628 3.5123 1.1984 -4.0027 -1.6919 9.1477 -2.5219 6.4407" Properties=species:S:1:pos:R:3 pbc="T T T"
I 0.0000 0.0000 0.0000
Tl 3.4253 -3.8087 5.4316
Tl 4.9900 -4.7786 2.8295
Rb 1.4936 -2.9329 1.9913
Rb 6.9216 -5.6545 6.2698
```